--- i ---
A plane-wave DFT calculation with PBE was carried out for a relaxed Si2AgMo crystal.

Cell: 8.4308 3.0771 5.1093 Å, 90.00 101.15 90.00°
Space group C2/m (No. 12)
One atom of each set of equivalent atoms:
Si 0.2342 0.0000 0.1814 (multiplicity 4)
Ag 0.0000 0.0000 0.5000 (multiplicity 2)
Mo 0.0000 0.5000 0.0000 (multiplicity 2)

- calculated density (g/cm3) = 6.639

--- ii ---
A plane-wave DFT calculation with PBE was carried out for a relaxed Si2AgMo crystal.

Cell: 2.7834 2.7834 8.1854 Å, 90.00 90.00 90.00°
Space group P4/mmm (No. 123)
One atom of each set of equivalent atoms:
Si 0.0000 0.0000 0.2225 (multiplicity 2)
Ag 0.5000 0.5000 0.5000 (multiplicity 1)
Mo 0.5000 0.5000 0.0000 (multiplicity 1)

- calculated density (g/cm3) = 6.808

Stability check: which of them is most stable? i.

--- i ---
A plane-wave DFT calculation with PBE was carried out for a relaxed Si2AgMo crystal.

Cell: 2.9605 2.9605 25.0413 Å, 90.00 90.00 120.00°
Space group R-3m (No. 166, hexagonal axes)
One atom of each set of equivalent atoms:
Si 0.0000 0.0000 0.2434 (multiplicity 6)
Ag 0.0000 0.0000 0.0000 (multiplicity 3)
Mo 0.0000 0.0000 0.5000 (multiplicity 3)

- calculated density (g/cm3) = 6.814

--- ii ---
A plane-wave DFT calculation with PBE was carried out for a relaxed Si2AgMo crystal.

Cell: 3.2273 3.2273 5.8924 Å, 90.00 90.00 90.00°
Space group P4/mmm (No. 123)
One atom of each set of equivalent atoms:
Si 0.0000 0.0000 0.2157 (multiplicity 2)
Ag 0.5000 0.5000 0.5000 (multiplicity 1)
Mo 0.5000 0.5000 0.0000 (multiplicity 1)

- calculated density (g/cm3) = 7.034

--- iii ---
A plane-wave DFT calculation with PBE was carried out for a relaxed Si2AgMo crystal.

Cell: 3.4896 4.2192 8.3982 Å, 90.00 90.00 90.00°
Space group Cmm2 (No. 35)
One atom of each set of equivalent atoms:
Si 0.0000 0.0000 0.0000 (multiplicity 2)
Si 0.0000 0.5000 0.2333 (multiplicity 2)
Ag 0.0000 0.0000 0.4941 (multiplicity 2)
Mo 0.0000 0.5000 0.7723 (multiplicity 2)

- calculated density (g/cm3) = 6.983

Stability check: which of them is most stable? ii.